No. 1
Below is a geometry-optimized AcOsO3 structure, with properties calculated at the PBE-GGA level.

Computed properties:
The value obtained for the calculated total energy is -0.5695 Ry per atom. The space group is Pnma, No. 62.

Unit cell a=6.186 b=8.590 c=6.510 alpha=90.00 beta=90.00 gamma=90.00
Sites, in units of the cell vectors:
1 Ac 0.000 0.000 0.000
2 Ac 0.000 0.500 0.000
3 Ac 0.500 0.000 0.500
4 Ac 0.500 0.500 0.500
5 Os 0.094 0.250 0.499
6 Os 0.406 0.750 0.999
7 Os 0.594 0.250 0.001
8 Os 0.906 0.750 0.501
9 O 0.052 0.250 0.224
10 O 0.137 0.075 0.661
11 O 0.137 0.425 0.661
12 O 0.363 0.575 0.161
13 O 0.363 0.925 0.161
14 O 0.448 0.750 0.724
15 O 0.552 0.250 0.276
16 O 0.637 0.075 0.839
17 O 0.637 0.425 0.839
18 O 0.863 0.575 0.339
19 O 0.863 0.925 0.339
20 O 0.948 0.750 0.776

No. 2
Below is a geometry-optimized Y4NiAsN2 structure, with properties calculated at the PBE-GGA level.

Computed properties:
The value obtained for the calculated total energy is -0.5635 Ry per atom. The space group is P-6m2, No. 187.

Unit cell a=3.587 b=3.587 c=13.375 alpha=90.00 beta=90.00 gamma=120.00
Sites, in units of the cell vectors:
1 Y 0.000 0.000 0.142
2 Y 0.000 0.000 0.858
3 Y 0.333 0.667 0.346
4 Y 0.333 0.667 0.654
5 Ni 0.333 0.667 0.000
6 As 0.000 0.000 0.500
7 N 0.667 0.333 0.251
8 N 0.667 0.333 0.749

No. 3
Below is a geometry-optimized SrMgZnSn2 structure, with properties calculated at the PBE-GGA level.

Computed properties:
The value obtained for the calculated total energy is -0.2104 Ry per atom. The calculation puts the excess energy over the best structure of this formula in the dataset at 58 meV/atom. The space group is I-4m2, No. 119.

Unit cell a=6.914 b=6.914 c=6.914 alpha=140.25 beta=140.25 gamma=57.47
Sites, in units of the cell vectors:
1 Sr 0.000 0.000 0.000
2 Mg 0.750 0.250 0.500
3 Zn 0.250 0.750 0.500
4 Sn 0.381 0.381 0.000
5 Sn 0.619 0.619 0.000

No. 4
Below is a geometry-optimized Ag3S2Br structure, with properties calculated at the PBE-GGA level.

Computed properties:
The value obtained for the calculated total energy is -0.2232 Ry per atom. The space group is P6/mmm, No. 191.

Unit cell a=6.926 b=6.926 c=3.269 alpha=90.00 beta=90.00 gamma=120.00
Sites, in units of the cell vectors:
1 Ag 0.000 0.500 0.000
2 Ag 0.500 0.000 0.000
3 Ag 0.500 0.500 0.000
4 S 0.333 0.667 0.500
5 S 0.667 0.333 0.500
6 Br 0.000 0.000 0.500

No. 5
Below is a geometry-optimized CsUBe structure, with properties calculated at the PBE-GGA level.

Computed properties:
The value obtained for the calculated total energy is -0.2284 Ry per atom. The calculation puts the excess energy over the best structure of this formula in the dataset at 193 meV/atom. The space group is F-43m, No. 216.

Unit cell a=4.876 b=4.876 c=4.876 alpha=60.00 beta=60.00 gamma=60.00
Sites, in units of the cell vectors:
1 Cs 0.000 0.000 0.000
2 U 0.750 0.750 0.750
3 Be 0.250 0.250 0.250

No. 6
Below is a geometry-optimized Lu2Ge2O5 structure, with properties calculated at the PBE-GGA level.

Computed properties:
The value obtained for the calculated total energy is -0.4847 Ry per atom. The calculation puts the excess energy over the best structure of this formula in the dataset at 131 meV/atom. The space group is P4/mmm, No. 123.

Unit cell a=4.039 b=4.039 c=6.459 alpha=90.00 beta=90.00 gamma=90.00
Sites, in units of the cell vectors:
1 Lu 0.000 0.000 0.000
2 Lu 0.000 0.000 0.500
3 Ge 0.500 0.500 0.209
4 Ge 0.500 0.500 0.791
5 O 0.000 0.500 0.229
6 O 0.000 0.500 0.771
7 O 0.500 0.000 0.229
8 O 0.500 0.000 0.771
9 O 0.500 0.500 0.500

No. 7
Below is a geometry-optimized ZrBeSi structure, with properties calculated at the PBE-GGA level.

Computed properties:
The value obtained for the calculated total energy is -0.4891 Ry per atom. The calculation puts the excess energy over the best structure of this formula in the dataset at 0 meV/atom. The space group is P6_3/mmc, No. 194.

Unit cell a=3.738 b=3.738 c=7.248 alpha=90.00 beta=90.00 gamma=120.00
Sites, in units of the cell vectors:
1 Zr 0.000 0.000 0.000
2 Zr 0.000 0.000 0.500
3 Be 0.333 0.667 0.250
4 Be 0.667 0.333 0.750
5 Si 0.333 0.667 0.750
6 Si 0.667 0.333 0.250

No. 8
Below is a geometry-optimized ErLuIn4 structure, with properties calculated at the PBE-GGA level.

Computed properties:
The value obtained for the calculated total energy is -0.2742 Ry per atom. The space group is Amm2, No. 38.

Unit cell a=4.615 b=7.394 c=7.394 alpha=36.09 beta=90.00 gamma=90.00
Sites, in units of the cell vectors:
1 Er 0.000 0.000 0.000
2 Lu 0.000 0.689 0.689
3 In 0.000 0.344 0.344
4 In 0.500 0.169 0.169
5 In 0.500 0.520 0.520
6 In 0.500 0.843 0.843

So what do the calculations give for V? Going down the list: 17.30; 18.63; 26.79; 22.63; 27.32; 11.71; 14.62; 24.77 Å³/atom.